A | This record from Alexandria via LeMat-Bulk describes a relaxed CsBi2Te2 crystal. The functional is PBE.

a = 8.975 Å, b = 8.975 Å, c = 8.085 Å
α = 114.38°, β = 114.38°, γ = 104.76°
Fractional positions:
Cs: 0.125 0.875 0.750
Cs: 0.875 0.125 0.250
Bi: 0.247 0.497 0.995
Bi: 0.497 0.247 0.495
Bi: 0.503 0.753 0.505
Bi: 0.753 0.503 0.005
Te: 0.162 0.838 0.250
Te: 0.411 0.589 0.750
Te: 0.589 0.411 0.250
Te: 0.838 0.162 0.750

DOS at the Fermi energy = 3.68 states/eV/f.u.
size of the total moment = 0.0 μB per formula unit

---

B | This record from Alexandria via LeMat-Bulk describes a relaxed CsBi2Te2 crystal. The functional is PBE.

a = 9.783 Å, b = 9.783 Å, c = 4.153 Å
α = 90.00°, β = 90.00°, γ = 90.00°
Fractional positions:
Cs: 0.000 0.000 0.000
Cs: 0.500 0.500 0.000
Bi: 0.128 0.372 0.000
Bi: 0.372 0.872 0.000
Bi: 0.628 0.128 0.000
Bi: 0.872 0.628 0.000
Te: 0.218 0.718 0.500
Te: 0.282 0.218 0.500
Te: 0.718 0.782 0.500
Te: 0.782 0.282 0.500

DOS at the Fermi energy = 2.45 states/eV/f.u.
size of the total moment = 0.0 μB per formula unit

---

Most stable: A. Least stable: B.

---

A | This record from Alexandria via LeMat-Bulk describes a relaxed CsBi2Te2 crystal. The functional is PBE.

a = 9.967 Å, b = 9.967 Å, c = 4.141 Å
α = 90.00°, β = 90.00°, γ = 90.00°
Fractional positions:
Cs: 0.000 0.000 0.000
Cs: 0.500 0.500 0.000
Bi: 0.195 0.305 0.500
Bi: 0.305 0.805 0.500
Bi: 0.695 0.195 0.500
Bi: 0.805 0.695 0.500
Te: 0.156 0.656 0.000
Te: 0.344 0.156 0.000
Te: 0.656 0.844 0.000
Te: 0.844 0.344 0.000

DOS at the Fermi energy = 1.25 states/eV/f.u.
size of the total moment = 0.0 μB per formula unit

---

B | This record from Alexandria via LeMat-Bulk describes a relaxed CsBi2Te2 crystal. The functional is PBE.

a = 4.870 Å, b = 4.870 Å, c = 16.144 Å
α = 90.00°, β = 90.00°, γ = 90.00°
Fractional positions:
Cs: 0.000 0.000 0.000
Cs: 0.500 0.500 0.500
Bi: 0.000 0.500 0.250
Bi: 0.000 0.500 0.750
Bi: 0.500 0.000 0.250
Bi: 0.500 0.000 0.750
Te: 0.000 0.000 0.406
Te: 0.000 0.000 0.594
Te: 0.500 0.500 0.094
Te: 0.500 0.500 0.906

DOS at the Fermi energy = 2.34 states/eV/f.u.
size of the total moment = 0.0 μB per formula unit

---

Most stable: B. Least stable: A.

---

A | This record from Alexandria via LeMat-Bulk describes a relaxed CsBi3Te crystal. The functional is PBE.

a = 6.071 Å, b = 6.071 Å, c = 6.071 Å
α = 90.00°, β = 90.00°, γ = 90.00°
Fractional positions:
Cs: 0.000 0.000 0.000
Bi: 0.000 0.500 0.500
Bi: 0.500 0.000 0.500
Bi: 0.500 0.500 0.000
Te: 0.500 0.500 0.500

DOS at the Fermi energy = 8.15 states/eV/f.u.
size of the total moment = 0.0 μB per formula unit

---

B | This record from Alexandria via LeMat-Bulk describes a relaxed CsBi3Te crystal. The functional is PBE.

a = 6.285 Å, b = 6.285 Å, c = 6.285 Å
α = 90.00°, β = 90.00°, γ = 90.00°
Fractional positions:
Cs: 0.000 0.000 0.000
Bi: 0.000 0.000 0.500
Bi: 0.000 0.500 0.000
Bi: 0.500 0.000 0.000
Te: 0.500 0.500 0.500

DOS at the Fermi energy = 8.12 states/eV/f.u.
size of the total moment = 0.0 μB per formula unit

---

Most stable: A. Least stable: B.

---

A | This record from Alexandria via LeMat-Bulk describes a relaxed Cs3BiTe3 crystal. The functional is PBE.

a = 9.477 Å, b = 9.477 Å, c = 9.551 Å
α = 94.39°, β = 94.39°, γ = 113.49°
Fractional positions:
Cs: 0.175 0.825 0.000
Cs: 0.232 0.768 0.500
Cs: 0.379 0.379 0.133
Cs: 0.621 0.621 0.867
Cs: 0.768 0.232 0.500
Cs: 0.825 0.175 0.000
Bi: 0.192 0.192 0.639
Bi: 0.808 0.808 0.361
Te: 0.076 0.076 0.290
Te: 0.163 0.463 0.785
Te: 0.463 0.163 0.785
Te: 0.537 0.837 0.215
Te: 0.837 0.537 0.215
Te: 0.924 0.924 0.710

size of the total moment = 0.0 μB per formula unit

---

B | This record from Alexandria via LeMat-Bulk describes a relaxed Cs3BiTe3 crystal. The functional is PBE.

a = 12.558 Å, b = 12.558 Å, c = 15.637 Å
α = 90.00°, β = 90.00°, γ = 38.62°
Fractional positions:
Cs: 0.014 0.342 0.869
Cs: 0.158 0.486 0.631
Cs: 0.168 0.832 0.845
Cs: 0.332 0.668 0.345
Cs: 0.342 0.014 0.131
Cs: 0.486 0.158 0.369
Cs: 0.514 0.842 0.631
Cs: 0.658 0.986 0.869
Cs: 0.668 0.332 0.655
Cs: 0.832 0.168 0.155
Cs: 0.842 0.514 0.369
Cs: 0.986 0.658 0.131
Bi: 0.086 0.086 0.500
Bi: 0.414 0.414 0.000
Bi: 0.586 0.586 0.000
Bi: 0.914 0.914 0.500
Te: 0.030 0.653 0.382
Te: 0.153 0.530 0.882
Te: 0.218 0.782 0.599
Te: 0.282 0.718 0.099
Te: 0.347 0.970 0.382
Te: 0.470 0.847 0.882
Te: 0.530 0.153 0.118
Te: 0.653 0.030 0.618
Te: 0.718 0.282 0.901
Te: 0.782 0.218 0.401
Te: 0.847 0.470 0.118
Te: 0.970 0.347 0.618

size of the total moment = 0.0 μB per formula unit

---

Most stable: A. Least stable: B.